1.
Here is a geometry-optimized K12Cd structure from the Alexandria database. Energies are from PBE-GGA.

## Properties
calculated formation energy	0.02	eV/atom
total magnetization	0.0	μB per cell
DOS at the Fermi energy	0.8651	states/eV/atom
VASP energy	-1.060	eV/atom

Lattice parameters (Å, degrees): 10.387 10.387 10.387 109.47 109.47 109.47
Element x y z (fractional)
K: 0.694 0.520 0.825
K: 0.131 0.825 0.306
K: 0.694 0.869 0.175
K: 0.306 0.480 0.175
K: 0.480 0.175 0.306
K: 0.175 0.306 0.480
K: 0.825 0.694 0.520
K: 0.520 0.825 0.694
K: 0.825 0.306 0.131
K: 0.306 0.131 0.825
K: 0.869 0.175 0.694
K: 0.175 0.694 0.869
Cd: 0.000 0.000 0.000

***

2.
Here is a geometry-optimized BaTaMn2 structure from the Alexandria database. Energies are from PBE-GGA.

## Properties
ΔE to the lowest computed polymorph	575	meV per atom
calculated formation energy	1.14	eV/atom
total magnetization	6.3	μB per cell
DOS at the Fermi energy	1.0354	states/eV/atom
VASP energy	-6.889	eV/atom

Lattice parameters (Å, degrees): 4.932 4.932 4.932 60.00 60.00 60.00
Last column: magnetic moment on the atom in μB.
Element x y z (fractional)
Ta: 0.750 0.750 0.750  -0.97
Mn: 0.000 0.000 0.000  3.43
Mn: 0.250 0.250 0.250  3.84
Ba: 0.500 0.500 0.500  -0.06

***

3.
Here is a geometry-optimized LaThIr2 structure from the Alexandria database. Energies are from PBE-GGA.

## Properties
ΔE to the lowest computed polymorph	165	meV per atom
calculated formation energy	-0.68	eV/atom
total magnetization	0.0	μB per cell
DOS at the Fermi energy	0.4509	states/eV/atom
VASP energy	-8.199	eV/atom

Lattice parameters (Å, degrees): 5.064 5.064 5.064 60.00 60.00 60.00
Element x y z (fractional)
La: 0.500 0.500 0.500
Ir: 0.750 0.750 0.750
Ir: 0.250 0.250 0.250
Th: 0.000 0.000 0.000

***

4.
Here is a geometry-optimized CrCo3Ni12 structure from the Alexandria database. Energies are from PBE-GGA.

## Properties
calculated formation energy	0.02	eV/atom
total magnetization	13.5	μB per cell
DOS at the Fermi energy	1.7182	states/eV/atom
VASP energy	-6.249	eV/atom

Lattice parameters (Å, degrees): 3.521 3.521 14.150 90.00 90.00 90.00
Last column: magnetic moment on the atom in μB.
Element x y z (fractional)
Cr: 0.000 0.000 0.000  1.83
Ni: 0.000 0.500 0.126  0.38
Ni: 0.500 0.500 0.251  0.70
Ni: 0.000 0.500 0.625  0.73
Ni: 0.500 0.000 0.874  0.38
Ni: 0.500 0.000 0.375  0.73
Ni: 0.000 0.500 0.874  0.38
Ni: 0.500 0.500 0.000  0.20
Ni: 0.500 0.500 0.500  0.71
Ni: 0.500 0.500 0.749  0.70
Ni: 0.500 0.000 0.126  0.38
Ni: 0.500 0.000 0.625  0.73
Ni: 0.000 0.500 0.375  0.73
Co: 0.000 0.000 0.748  1.79
Co: 0.000 0.000 0.252  1.79
Co: 0.000 0.000 0.500  1.76

***

Question: The highest VASP energy belongs to which entry?
Answer: K12Cd